1.
## BaHgOs2 (GGA-PBE)

Data for a relaxed BaHgOs2 crystal.

Output
For the energy, the calculation gives -19.60 eV for the cell shown. The value obtained for the formation enthalpy at 0 K is 1.27 eV/atom.

Cell and atoms, written as CIF:
```
data_BaHgOs2
_space_group_name_H-M_alt 'P 1'
_space_group_IT_number 1
_space_group_name_Hall 'P 1'
_cell_length_a 3.652
_cell_length_b 3.652
_cell_length_c 7.069
_cell_angle_alpha 90.00
_cell_angle_beta 90.00
_cell_angle_gamma 90.00
loop_
_atom_site_label
_atom_site_fract_x
_atom_site_fract_y
_atom_site_fract_z
Os1 0.000 0.000 0.921
Os2 0.000 0.000 0.579
Hg1 0.500 0.500 0.750
Ba1 0.500 0.500 0.250
```


2.
## ZrTiAsSe2 (GGA-PBE)

Data for a relaxed ZrTiAsSe2 crystal.

Output
Its energy above the most stable polymorph in this dataset is 0.192 eV per atom. For the energy, the calculation gives -28.12 eV for the cell shown. The raw formation energy comes out at -6 kJ/mol of formula units.

Cell and atoms, written as CIF:
```
data_ZrTiAsSe2
_space_group_name_H-M_alt 'P 1'
_space_group_IT_number 1
_space_group_name_Hall 'P 1'
_cell_length_a 5.144
_cell_length_b 5.144
_cell_length_c 5.198
_cell_angle_alpha 90.00
_cell_angle_beta 90.00
_cell_angle_gamma 90.00
loop_
_atom_site_label
_atom_site_fract_x
_atom_site_fract_y
_atom_site_fract_z
As1 0.000 0.000 0.500
Se1 0.000 0.500 0.000
Se2 0.500 0.000 0.000
Zr1 0.000 0.000 0.000
Ti1 0.500 0.500 0.500
```


3.
## ZnCrPt2 (GGA-PBE)

Data for a relaxed ZnCrPt2 crystal.

Output
For the energy, the calculation gives -23.47 eV for the cell shown. The value obtained for the formation enthalpy at 0 K is -0.12 eV/atom.

Cell and atoms, written as CIF:
```
data_ZnCrPt2
_space_group_name_H-M_alt 'P 1'
_space_group_IT_number 1
_space_group_name_Hall 'P 1'
_cell_length_a 4.418
_cell_length_b 4.418
_cell_length_c 4.418
_cell_angle_alpha 60.00
_cell_angle_beta 60.00
_cell_angle_gamma 60.00
loop_
_atom_site_label
_atom_site_fract_x
_atom_site_fract_y
_atom_site_fract_z
Cr1 0.500 0.500 0.500
Pt1 0.000 0.000 0.000
Pt2 0.250 0.250 0.250
Zn1 0.750 0.750 0.750
```


4.
## RbCrPCl2 (GGA-PBE)

Data for a relaxed RbCrPCl2 crystal.

Output
Its energy above the most stable polymorph in this dataset is 1.383 eV per atom. For the energy, the calculation gives -16.48 eV for the cell shown. The raw formation energy comes out at 310 kJ/mol of formula units.

Cell and atoms, written as CIF:
```
data_RbCrPCl2
_space_group_name_H-M_alt 'P 1'
_space_group_IT_number 1
_space_group_name_Hall 'P 1'
_cell_length_a 5.973
_cell_length_b 5.973
_cell_length_c 6.078
_cell_angle_alpha 90.00
_cell_angle_beta 90.00
_cell_angle_gamma 90.00
loop_
_atom_site_label
_atom_site_fract_x
_atom_site_fract_y
_atom_site_fract_z
Cr1 0.500 0.500 0.500
P1 0.000 0.000 0.500
Rb1 0.000 0.000 0.000
Cl1 0.000 0.500 0.000
Cl2 0.500 0.000 0.000
```


5.
## Rb8I4BrCl3 (GGA-PBE)

Data for a relaxed Rb8I4BrCl3 crystal.

Output
For the energy, the calculation gives -48.10 eV for the cell shown. The raw formation energy comes out at -2600 kJ/mol of formula units.

Cell and atoms, written as CIF:
```
data_Rb8I4BrCl3
_space_group_name_H-M_alt 'P 1'
_space_group_IT_number 1
_space_group_name_Hall 'P 1'
_cell_length_a 10.034
_cell_length_b 10.136
_cell_length_c 10.036
_cell_angle_alpha 119.68
_cell_angle_beta 120.00
_cell_angle_gamma 90.00
loop_
_atom_site_label
_atom_site_fract_x
_atom_site_fract_y
_atom_site_fract_z
Rb1 0.245 0.726 0.982
Rb2 0.245 0.726 0.490
Rb3 0.259 0.277 0.518
Rb4 0.737 0.726 0.982
Rb5 0.263 0.274 0.018
Rb6 0.741 0.723 0.482
Rb7 0.755 0.274 0.510
Rb8 0.755 0.274 0.018
I1 0.500 0.000 0.000
I2 0.500 0.000 0.500
I3 0.000 0.000 0.000
I4 0.000 0.000 0.500
Br1 0.000 0.500 0.000
Cl1 0.500 0.500 0.000
Cl2 0.500 0.500 0.500
Cl3 0.000 0.500 0.500
```


6.
## LaPrSm5 (GGA-PBE)

Data for a relaxed LaPrSm5 crystal.

Output
Its energy above the most stable polymorph in this dataset is 0.000 eV per atom. For the energy, the calculation gives -64.27 eV for the cell shown. The value obtained for the formation enthalpy at 0 K is 0.17 eV/atom.

Cell and atoms, written as CIF:
```
data_LaPrSm5
_space_group_name_H-M_alt 'P 1'
_space_group_IT_number 1
_space_group_name_Hall 'P 1'
_cell_length_a 6.964
_cell_length_b 6.964
_cell_length_c 13.942
_cell_angle_alpha 61.56
_cell_angle_beta 61.56
_cell_angle_gamma 59.90
loop_
_atom_site_label
_atom_site_fract_x
_atom_site_fract_y
_atom_site_fract_z
La1 0.721 0.279 0.750
La2 0.279 0.721 0.250
Pr1 0.000 0.000 0.000
Pr2 0.000 0.000 0.500
Sm1 0.163 0.401 0.749
Sm2 0.649 0.696 0.500
Sm3 0.401 0.163 0.249
Sm4 0.160 0.840 0.750
Sm5 0.304 0.351 0.000
Sm6 0.696 0.649 0.000
Sm7 0.840 0.160 0.250
Sm8 0.599 0.837 0.751
Sm9 0.351 0.304 0.500
Sm10 0.837 0.599 0.251
```


7.
## LiCd2Pd2 (GGA-PBE)

Data for a relaxed LiCd2Pd2 crystal.

Output
Its energy above the most stable polymorph in this dataset is 0.027 eV per atom. For the energy, the calculation gives -63.09 eV for the cell shown. The value obtained for the formation enthalpy at 0 K is -0.33 eV/atom.

Cell and atoms, written as CIF:
```
data_LiCd2Pd2
_space_group_name_H-M_alt 'P 1'
_space_group_IT_number 1
_space_group_name_Hall 'P 1'
_cell_length_a 5.693
_cell_length_b 7.442
_cell_length_c 8.559
_cell_angle_alpha 90.00
_cell_angle_beta 90.00
_cell_angle_gamma 90.00
loop_
_atom_site_label
_atom_site_fract_x
_atom_site_fract_y
_atom_site_fract_z
Li1 0.250 0.413 0.377
Li2 0.750 0.587 0.623
Li3 0.750 0.087 0.377
Li4 0.250 0.913 0.623
Cd1 0.750 0.900 0.120
Cd2 0.250 0.600 0.120
Cd3 0.750 0.400 0.880
Cd4 0.250 0.100 0.880
Cd5 0.750 0.445 0.335
Cd6 0.250 0.055 0.335
Cd7 0.750 0.945 0.665
Cd8 0.250 0.555 0.665
Pd1 0.500 0.250 0.124
Pd2 0.000 0.250 0.124
Pd3 0.000 0.750 0.876
Pd4 0.500 0.750 0.876
Pd5 0.000 0.750 0.398
Pd6 0.500 0.750 0.398
Pd7 0.500 0.250 0.602
Pd8 0.000 0.250 0.602
```


8.
## Nd5YEr2Th (GGA-PBE)

Data for a relaxed Nd5YEr2Th crystal.

Output
For the energy, the calculation gives -91.10 eV for the cell shown. The value obtained for the formation enthalpy at 0 K is 0.14 eV/atom.

Cell and atoms, written as CIF:
```
data_Nd5YEr2Th
_space_group_name_H-M_alt 'P 1'
_space_group_IT_number 1
_space_group_name_Hall 'P 1'
_cell_length_a 5.421
_cell_length_b 11.180
_cell_length_c 10.606
_cell_angle_alpha 90.00
_cell_angle_beta 90.00
_cell_angle_gamma 104.03
loop_
_atom_site_label
_atom_site_fract_x
_atom_site_fract_y
_atom_site_fract_z
Nd1 0.375 0.750 0.008
Nd2 0.722 0.444 0.814
Nd3 0.500 0.000 0.758
Nd4 0.278 0.556 0.701
Nd5 0.003 0.005 0.508
Nd6 0.625 0.250 0.508
Nd7 0.278 0.556 0.314
Nd8 0.500 0.000 0.258
Nd9 0.722 0.444 0.201
Nd10 0.997 0.995 0.008
Y1 0.602 0.203 0.008
Y2 0.398 0.797 0.508
Er1 0.887 0.773 0.755
Er2 0.113 0.226 0.762
Er3 0.113 0.227 0.255
Er4 0.887 0.774 0.262
Th1 0.786 0.573 0.508
Th2 0.214 0.427 0.008
```


Calculated volume, respectively: 23.575 27.516 15.247 43.370 45.327 34.909 18.133 34.647 A^3/atom.